Compound: DyErAlCo2
Source: OQMD via LeMat-Bulk
Functional: PBE-GGA
Structure: optimized geometry

Cell: 5.320 5.320 5.320 Å, 135.48 118.61 78.94°
Fractional positions:
Co  0.275  0.500  0.776
Er  0.295  0.795  0.500
Dy  0.705  0.205  0.500
Co  0.724  0.500  0.224
Al  0.000  0.000  0.000

- SG = No. 44
- magnetization (μB per atom) = 0.001
- calculated volume (A^3/atom) = 18.0
- raw total energy (eV/atom) = -5.833
- mass density (g/cm3) = 8.8